[1]
Computed, not measured: a relaxed structure of CuSeBrO4 at the PBE level of DFT.

Structure (POSCAR):
```
CuSeBrO4
1.0
4.5774 -3.1285 0.0000
4.5774 3.1285 0.0000
-2.2806 0.0000 8.2598
Cu Se Br O
2 2 2 8
direct
0.2418 0.2418 0.2441
0.7582 0.7582 0.7559
0.3734 0.3734 0.7150
0.6266 0.6266 0.2850
0.0102 0.0102 0.7623
0.9898 0.9898 0.2377
0.0756 0.4738 0.7868
0.3407 0.3407 0.5181
0.4425 0.4425 0.1814
0.4738 0.0756 0.7868
0.5262 0.9244 0.2132
0.5575 0.5575 0.8186
0.6593 0.6593 0.4819
0.9244 0.5262 0.2132
```

Computed properties:
* uncorrected formation energy: -323.2 meV per atom
* total magnetization: 0.000 Bohr magnetons per cell


[2]
Computed, not measured: a relaxed structure of Cu4SeBr2O at the PBE level of DFT.

Structure (POSCAR):
```
Cu4SeBr2O
1.0
7.4508 0.0000 0.0000
0.0000 6.5716 0.0000
0.0000 0.0000 6.3158
Cu Se Br O
8 2 4 2
direct
0.0000 0.0871 0.0000
0.0000 0.8647 0.4307
0.2224 0.6992 0.0360
0.2776 0.3008 0.5360
0.5000 0.1353 0.9307
0.5000 0.9129 0.5000
0.7224 0.3008 0.5360
0.7776 0.6992 0.0360
0.0000 0.1572 0.6370
0.5000 0.8428 0.1370
0.2500 0.3311 0.1333
0.2500 0.6689 0.6333
0.7500 0.3311 0.1333
0.7500 0.6689 0.6333
0.0000 0.8216 0.1305
0.5000 0.1784 0.6305
```

Computed properties:
* uncorrected formation energy: -260.1 meV per atom
* total magnetization: 0.000 Bohr magnetons per cell


[3]
Computed, not measured: a relaxed structure of Sr2Cu2TeBr2O6 at the PBE level of DFT.

Structure (POSCAR):
```
Sr2Cu2TeBr2O6
1.0
9.5176 0.0000 0.0000
0.0000 5.2882 0.0000
-0.9417 0.0000 9.4279
Sr Cu Te Br O
4 4 2 4 12
direct
0.2257 0.0984 0.3093
0.2257 0.4016 0.8093
0.7743 0.5984 0.1907
0.7743 0.9016 0.6907
0.4169 0.5213 0.1337
0.4169 0.9787 0.6337
0.5831 0.0213 0.3663
0.5831 0.4787 0.8663
0.5000 0.0000 0.0000
0.5000 0.5000 0.5000
0.1083 0.6068 0.1669
0.1083 0.8932 0.6669
0.8917 0.1068 0.3331
0.8917 0.3932 0.8331
0.3367 0.1948 0.0539
0.3367 0.3052 0.5539
0.3791 0.7088 0.9545
0.3791 0.7912 0.4545
0.4722 0.1648 0.8099
0.4722 0.3352 0.3099
0.5278 0.6648 0.6901
0.5278 0.8352 0.1901
0.6209 0.2088 0.5455
0.6209 0.2912 0.0455
0.6633 0.6948 0.4461
0.6633 0.8052 0.9461
```

Computed properties:
* uncorrected formation energy: -1485.2 meV per atom
* total magnetization: 0.000 Bohr magnetons per cell


[4]
Computed, not measured: a relaxed structure of CuTcBrO4 at the PBE level of DFT.

Structure (POSCAR):
```
CuTcBrO4
1.0
6.7722 -3.3525 0.0000
6.7722 3.3525 0.0000
-2.1515 0.0000 5.9013
Cu Tc Br O
2 2 2 8
direct
0.1423 0.1423 0.1400
0.8577 0.8577 0.8600
0.3437 0.3437 0.7278
0.6563 0.6563 0.2722
0.0350 0.0350 0.7343
0.9650 0.9650 0.2657
0.1193 0.5521 0.8820
0.2416 0.2416 0.4652
0.4479 0.8807 0.1180
0.4619 0.4619 0.6866
0.5381 0.5381 0.3134
0.5521 0.1193 0.8820
0.7584 0.7584 0.5348
0.8807 0.4479 0.1180
```

Computed properties:
* uncorrected formation energy: -970.3 meV per atom
* total magnetization: 0.000 Bohr magnetons per cell


[5]
Computed, not measured: a relaxed structure of CuTeBrO2 at the PBE level of DFT.

Structure (POSCAR):
```
CuTeBrO2
1.0
6.7088 0.0000 0.0000
0.0000 4.2438 0.0000
-2.9602 0.0000 6.8076
Cu Te Br O
2 2 2 4
direct
0.0853 0.2500 0.3792
0.9147 0.7500 0.6208
0.4484 0.7500 0.6630
0.5516 0.2500 0.3370
0.2211 0.7500 0.9283
0.7789 0.2500 0.0717
0.1585 0.7500 0.4716
0.4244 0.2500 0.5617
0.5756 0.7500 0.4383
0.8415 0.2500 0.5284
```

Computed properties:
* uncorrected formation energy: -580.1 meV per atom
* total magnetization: 0.000 Bohr magnetons per cell


[6]
Computed, not measured: a relaxed structure of Cu3Te2Br2O6 at the PBE level of DFT.

Structure (POSCAR):
```
Cu3Te2Br2O6
1.0
4.8236 -3.1582 0.0000
4.8236 3.1582 0.0000
-1.5622 0.0000 8.4560
Cu Te Br O
3 2 2 6
direct
0.0000 0.0000 0.0000
0.3955 0.3955 0.1223
0.6045 0.6045 0.8777
0.1903 0.1903 0.7565
0.8097 0.8097 0.2435
0.2869 0.2869 0.3555
0.7131 0.7131 0.6445
0.1005 0.7122 0.1218
0.2878 0.8995 0.8782
0.3699 0.3699 0.8821
0.6301 0.6301 0.1179
0.7122 0.1005 0.1218
0.8995 0.2878 0.8782
```

Computed properties:
* uncorrected formation energy: -710.8 meV per atom
* total magnetization: 0.744 Bohr magnetons per cell


[7]
Computed, not measured: a relaxed structure of Cu2Te2Br2O5 at the PBE level of DFT.

Structure (POSCAR):
```
Cu2Te2Br2O5
1.0
8.0135 0.0000 0.0000
0.0000 8.0135 0.0000
0.0000 0.0000 6.4398
Cu Te Br O
4 4 4 10
direct
0.0312 0.7768 0.3493
0.2232 0.0312 0.6507
0.7768 0.9688 0.6507
0.9688 0.2232 0.3493
0.1339 0.6829 0.8688
0.3171 0.1339 0.1312
0.6829 0.8661 0.1312
0.8661 0.3171 0.8688
0.2616 0.5870 0.3146
0.4130 0.2616 0.6854
0.5870 0.7384 0.6854
0.7384 0.4130 0.3146
0.0000 0.5000 0.7493
0.0375 0.2553 0.0612
0.0666 0.8303 0.6432
0.1697 0.0666 0.3568
0.2553 0.9625 0.9388
0.5000 0.0000 0.2507
0.7447 0.0375 0.9388
0.8303 0.9334 0.3568
0.9334 0.1697 0.6432
0.9625 0.7447 0.0612
```

Computed properties:
* uncorrected formation energy: -723.0 meV per atom
* total magnetization: 4.019 Bohr magnetons per cell


[8]
Computed, not measured: a relaxed structure of Tl2CuBrO at the PBE level of DFT.

Structure (POSCAR):
```
Tl2CuBrO
1.0
5.7812 0.0000 0.0000
0.0000 5.7812 0.0000
0.0000 0.0000 3.6632
Tl Cu Br O
2 1 1 1
direct
0.0000 0.5000 0.0000
0.5000 0.0000 0.0000
0.0000 0.0000 0.5000
0.5000 0.5000 0.5000
0.0000 0.0000 0.0000
```

Computed properties:
* uncorrected formation energy: -567.8 meV per atom
* total magnetization: 0.000 Bohr magnetons per cell


[9]
Computed, not measured: a relaxed structure of CuOs2Br at the PBE level of DFT.

Structure (POSCAR):
```
CuOs2Br
1.0
3.1024 0.0000 0.0000
0.0000 3.1024 0.0000
0.0000 0.0000 6.3147
Cu Os Br
1 2 1
direct
0.0000 0.0000 0.0000
0.5000 0.5000 0.2084
0.5000 0.5000 0.7916
0.0000 0.0000 0.5000
```

Computed properties:
* uncorrected formation energy: 1203.0 meV per atom
* E above lowest polymorph: 646 meV per atom
* total magnetization: 0.001 Bohr magnetons per cell


[10]
Computed, not measured: a relaxed structure of CuOs2Br at the PBE level of DFT.

Structure (POSCAR):
```
CuOs2Br
1.0
4.4135 0.0000 0.0000
0.0000 4.4135 0.0000
0.0000 0.0000 3.0173
Cu Os Br
1 2 1
direct
0.0000 0.0000 0.0000
0.0000 0.5000 0.5000
0.5000 0.0000 0.5000
0.5000 0.5000 0.0000
```

Computed properties:
* uncorrected formation energy: 1375.6 meV per atom
* E above lowest polymorph: 819 meV per atom
* total magnetization: 0.000 Bohr magnetons per cell


[11]
Computed, not measured: a relaxed structure of Cu2OsBr at the PBE level of DFT.

Structure (POSCAR):
```
Cu2OsBr
1.0
0.0000 3.0993 3.0993
3.0993 0.0000 3.0993
3.0993 3.0993 0.0000
Cu Os Br
2 1 1
direct
0.0000 0.0000 0.0000
0.2500 0.2500 0.2500
0.7500 0.7500 0.7500
0.5000 0.5000 0.5000
```

Computed properties:
* uncorrected formation energy: 1113.6 meV per atom
* E above lowest polymorph: 515 meV per atom
* total magnetization: 0.000 Bohr magnetons per cell


[12]
Computed, not measured: a relaxed structure of Cu2OsBr at the PBE level of DFT.

Structure (POSCAR):
```
Cu2OsBr
1.0
-1.4448 2.3033 4.5486
1.4448 -2.3033 4.5486
1.4448 2.3033 -4.5486
Cu Os Br
2 1 1
direct
0.2437 0.2437 0.0000
0.7563 0.7563 0.0000
0.0000 0.5000 0.5000
0.5000 0.0000 0.5000
```

Computed properties:
* uncorrected formation energy: 946.6 meV per atom
* E above lowest polymorph: 348 meV per atom
* total magnetization: 0.000 Bohr magnetons per cell


[13]
Computed, not measured: a relaxed structure of Cu2OsBr8 at the PBE level of DFT.

Structure (POSCAR):
```
Cu2OsBr8
1.0
6.3395 -4.2142 0.0000
6.3395 4.2142 0.0000
-0.3822 0.0000 6.5517
Cu Os Br
2 1 8
direct
0.2007 0.2007 0.1748
0.7993 0.7993 0.8252
0.0000 0.0000 0.0000
0.1385 0.7117 0.7658
0.1634 0.1634 0.7990
0.2883 0.8615 0.2342
0.3672 0.3672 0.3211
0.6328 0.6328 0.6789
0.7117 0.1385 0.7658
0.8366 0.8366 0.2010
0.8615 0.2883 0.2342
```

Computed properties:
* uncorrected formation energy: -138.2 meV per atom
* total magnetization: 1.820 Bohr magnetons per cell


[14]
Computed, not measured: a relaxed structure of CuOs2Br at the PBE level of DFT.

Structure (POSCAR):
```
CuOs2Br
1.0
1.3694 -2.2747 0.0000
1.3694 2.2747 0.0000
0.0000 0.0000 13.0896
Cu Os Br
1 2 1
direct
0.0000 0.0000 0.0000
0.5000 0.5000 0.1662
0.5000 0.5000 0.8338
0.0000 0.0000 0.5000
```

Computed properties:
* uncorrected formation energy: 1040.5 meV per atom
* E above lowest polymorph: 484 meV per atom
* total magnetization: 0.000 Bohr magnetons per cell


[15]
Computed, not measured: a relaxed structure of CuOs2Br at the PBE level of DFT.

Structure (POSCAR):
```
CuOs2Br
1.0
-2.1878 2.1878 3.2199
2.1878 -2.1878 3.2199
2.1878 2.1878 -3.2199
Cu Os Br
1 2 1
direct
0.0000 0.0000 0.0000
0.2500 0.7500 0.5000
0.5000 0.5000 0.0000
0.7500 0.2500 0.5000
```

Computed properties:
* uncorrected formation energy: 1276.7 meV per atom
* E above lowest polymorph: 720 meV per atom
* total magnetization: 0.000 Bohr magnetons per cell


[16]
Computed, not measured: a relaxed structure of CuOs2Br at the PBE level of DFT.

Structure (POSCAR):
```
CuOs2Br
1.0
4.3151 -1.4467 0.0000
4.3151 1.4467 0.0000
-1.0043 0.0000 4.8608
Cu Os Br
1 2 1
direct
0.0000 0.0000 0.0000
0.2524 0.2524 0.7770
0.7476 0.7476 0.2230
0.5000 0.5000 0.5000
```

Computed properties:
* uncorrected formation energy: 1053.2 meV per atom
* E above lowest polymorph: 496 meV per atom
* total magnetization: 0.000 Bohr magnetons per cell


[17]
Computed, not measured: a relaxed structure of Cu2OsBr at the PBE level of DFT.

Structure (POSCAR):
```
Cu2OsBr
1.0
4.6304 0.0000 0.0000
0.0000 2.8848 0.0000
-1.3774 0.0000 4.4648
Cu Os Br
2 1 1
direct
0.0000 0.0000 0.0000
0.5000 0.5000 0.0000
0.0000 0.5000 0.5000
0.5000 0.0000 0.5000
```

Computed properties:
* uncorrected formation energy: 941.1 meV per atom
* E above lowest polymorph: 343 meV per atom
* total magnetization: 0.000 Bohr magnetons per cell


[18]
Computed, not measured: a relaxed structure of CuOs2Br at the PBE level of DFT.

Structure (POSCAR):
```
CuOs2Br
1.0
1.4042 -2.3998 0.0000
1.4042 2.3998 0.0000
0.0000 0.0000 9.9823
Cu Os Br
1 2 1
direct
0.0000 0.0000 0.0000
0.0000 0.0000 0.4364
0.5000 0.5000 0.2214
0.5000 0.5000 0.7637
```

Computed properties:
* uncorrected formation energy: 880.7 meV per atom
* E above lowest polymorph: 324 meV per atom
* total magnetization: 0.478 Bohr magnetons per cell


[19]
Computed, not measured: a relaxed structure of Cu3OsBr at the PBE level of DFT.

Structure (POSCAR):
```
Cu3OsBr
1.0
4.5046 0.0000 0.0000
0.0000 4.5046 0.0000
0.0000 0.0000 4.5046
Cu Os Br
3 1 1
direct
0.0000 0.0000 0.5000
0.0000 0.5000 0.0000
0.5000 0.0000 0.0000
0.5000 0.5000 0.5000
0.0000 0.0000 0.0000
```

Computed properties:
* uncorrected formation energy: 1694.9 meV per atom
* E above lowest polymorph: 368 meV per atom
* total magnetization: 2.128 Bohr magnetons per cell


[20]
Computed, not measured: a relaxed structure of Cu2OsBr at the PBE level of DFT.

Structure (POSCAR):
```
Cu2OsBr
1.0
-1.9047 1.9047 4.1399
1.9047 -1.9047 4.1399
1.9047 1.9047 -4.1399
Cu Os Br
2 1 1
direct
0.2500 0.7500 0.5000
0.7500 0.2500 0.5000
0.0000 0.0000 0.0000
0.5000 0.5000 0.0000
```

Computed properties:
* uncorrected formation energy: 1145.3 meV per atom
* E above lowest polymorph: 547 meV per atom
* total magnetization: 0.858 Bohr magnetons per cell